First-principles (PBE) data for a relaxed structure of Ta2CrRe, as listed in the Alexandria database.

abc: 3.141 3.141 6.393
angles: 90.00 90.00 90.00
Atoms (fractional coordinates):
Ta 0.000 0.000 0.000
Ta 0.500 0.500 0.277
Cr 0.000 0.000 0.519
Re 0.500 0.500 0.746

Values from the calculation:
E   -11.549 eV/atom
DOS at the Fermi energy   0.5988 states/eV per atom